# PrNdSm6Tm2

A relaxed PrNdSm6Tm2 crystal (GGA-PBE, Alexandria).

Cell and atoms, written as POSCAR:
```
PrNdSm6Tm2
1.0
9.411 -1.333 -1.383
1.444 8.533 -2.024
1.444 -2.339 8.452
Sm Tm Pr Nd
12 4 2 2
direct
0.883 0.980 0.204 Sm
0.057 0.741 0.392 Sm
0.943 0.259 0.608 Sm
0.383 0.204 0.980 Sm
0.617 0.796 0.020 Sm
0.180 0.489 0.944 Sm
0.557 0.392 0.741 Sm
0.680 0.944 0.489 Sm
0.443 0.608 0.259 Sm
0.320 0.056 0.511 Sm
0.117 0.020 0.796 Sm
0.820 0.511 0.056 Sm
0.552 0.203 0.300 Tm
0.448 0.797 0.700 Tm
0.052 0.300 0.203 Tm
0.948 0.700 0.797 Tm
0.250 0.464 0.536 Pr
0.750 0.536 0.464 Pr
0.250 0.908 0.092 Nd
0.750 0.092 0.908 Nd
```

## Properties
calculated density	7.5	g/cm3
space group	C2/c
spin magnetization	0.000	μB/f.u.
DOS at the Fermi energy	14.25	states/eV/f.u.
volume	33.81	Å³/atom
ΔH_f (0 K)	0.116	eV/atom

=====

# Pr4Nd2SmTm

A relaxed Pr4Nd2SmTm crystal (GGA-PBE, Alexandria).

Cell and atoms, written as POSCAR:
```
Pr4Nd2SmTm
1.0
5.209 0.000 0.000
0.000 5.066 1.095
0.000 2.897 11.192
Nd Tm Sm Pr
2 1 1 4
direct
0.500 0.000 0.500 Nd
0.000 0.000 0.000 Nd
0.000 0.500 0.500 Tm
0.500 0.500 0.000 Sm
0.000 0.247 0.253 Pr
0.000 0.753 0.747 Pr
0.500 0.748 0.252 Pr
0.500 0.252 0.748 Pr
```

## Properties
calculated density	7.0	g/cm3
space group	P2/m
spin magnetization	0.000	μB/f.u.
DOS at the Fermi energy	11.55	states/eV/f.u.
volume	34.85	Å³/atom
ΔH_f (0 K)	0.013	eV/atom

=====

# PrNd2Sm6Tm

A relaxed PrNd2Sm6Tm crystal (GGA-PBE, Alexandria).

Cell and atoms, written as POSCAR:
```
PrNd2Sm6Tm
1.0
-2.479 -3.821 8.693
8.733 -1.526 1.089
-3.091 8.146 1.968
Sm Pr Tm Nd
12 2 2 4
direct
0.056 0.122 0.747 Sm
0.881 0.294 0.507 Sm
0.188 0.570 0.015 Sm
0.556 0.747 0.122 Sm
0.619 0.493 0.706 Sm
0.312 0.985 0.430 Sm
0.688 0.015 0.570 Sm
0.944 0.878 0.253 Sm
0.381 0.507 0.294 Sm
0.444 0.253 0.878 Sm
0.812 0.430 0.985 Sm
0.119 0.706 0.493 Sm
0.750 0.019 0.981 Pr
0.250 0.981 0.019 Pr
0.250 0.409 0.591 Tm
0.750 0.591 0.409 Tm
0.544 0.199 0.300 Nd
0.956 0.700 0.801 Nd
0.456 0.801 0.700 Nd
0.044 0.300 0.199 Nd
```

## Properties
calculated density	7.3	g/cm3
space group	C2/c
spin magnetization	0.000	μB/f.u.
DOS at the Fermi energy	14.19	states/eV/f.u.
volume	34.27	Å³/atom
ΔH_f (0 K)	0.114	eV/atom

=====

# Pr3NdSmTm

A relaxed Pr3NdSmTm crystal (GGA-PBE, Alexandria).

Cell and atoms, written as POSCAR:
```
Pr3NdSmTm
1.0
5.149 0.000 0.000
-2.575 7.775 0.000
0.000 0.000 10.358
Pr Nd Sm Tm
6 2 2 2
direct
0.334 0.668 0.501 Pr
0.334 0.668 0.999 Pr
0.167 0.335 0.750 Pr
0.833 0.665 0.250 Pr
0.666 0.332 0.001 Pr
0.666 0.332 0.499 Pr
0.502 0.005 0.250 Nd
0.498 0.995 0.750 Nd
0.000 0.000 0.000 Sm
0.000 0.000 0.500 Sm
0.834 0.667 0.750 Tm
0.166 0.333 0.250 Tm
```

## Properties
calculated density	7.1	g/cm3
space group	Cmcm
spin magnetization	0.000	μB/f.u.
DOS at the Fermi energy	9.05	states/eV/f.u.
volume	34.56	Å³/atom
ΔH_f (0 K)	0.016	eV/atom

=====

# Pr3NdSm6Tm2

A relaxed Pr3NdSm6Tm2 crystal (GGA-PBE, Alexandria).

Cell and atoms, written as POSCAR:
```
Pr3NdSm6Tm2
1.0
6.290 -0.001 0.007
-3.144 5.448 0.007
-1.063 -1.841 11.860
Sm Tm Pr Nd
6 2 3 1
direct
0.918 0.583 0.754 Sm
0.748 0.748 0.246 Sm
0.583 0.918 0.754 Sm
0.252 0.252 0.754 Sm
0.417 0.082 0.246 Sm
0.082 0.417 0.246 Sm
0.667 0.333 0.000 Tm
0.333 0.667 0.000 Tm
0.833 0.167 0.500 Pr
0.500 0.500 0.500 Pr
0.167 0.833 0.500 Pr
0.000 0.000 0.000 Nd
```

## Properties
calculated density	7.4	g/cm3
space group	C2/m
spin magnetization	0.000	μB/f.u.
DOS at the Fermi energy	17.19	states/eV/f.u.
volume	33.88	Å³/atom
ΔH_f (0 K)	0.019	eV/atom

=====

# Pr2Nd2Sm4Tm

A relaxed Pr2Nd2Sm4Tm crystal (GGA-PBE, Alexandria).

Cell and atoms, written as POSCAR:
```
Pr2Nd2Sm4Tm
1.0
3.674 0.000 0.000
-1.837 9.511 -0.506
0.000 -3.756 9.044
Sm Nd Pr Tm
4 2 2 1
direct
0.185 0.369 0.332 Sm
0.482 0.963 0.673 Sm
0.815 0.631 0.668 Sm
0.518 0.037 0.327 Sm
0.335 0.671 0.000 Nd
0.665 0.329 0.000 Nd
0.853 0.706 0.335 Pr
0.147 0.294 0.665 Pr
0.000 0.000 0.000 Tm
```

## Properties
calculated density	7.2	g/cm3
space group	C2/m
spin magnetization	0.000	μB/f.u.
DOS at the Fermi energy	11.73	states/eV/f.u.
volume	34.34	Å³/atom
ΔH_f (0 K)	0.014	eV/atom

=====

# Pr2NdSm2Tm2

A relaxed Pr2NdSm2Tm2 crystal (GGA-PBE, Alexandria).

Cell and atoms, written as POSCAR:
```
Pr2NdSm2Tm2
1.0
5.116 0.000 0.000
-2.558 5.710 0.270
0.000 -1.528 7.971
Sm Tm Pr Nd
2 2 2 1
direct
0.429 0.858 0.281 Sm
0.571 0.142 0.719 Sm
0.715 0.431 0.140 Tm
0.285 0.569 0.860 Tm
0.143 0.287 0.429 Pr
0.857 0.713 0.571 Pr
0.000 0.000 0.000 Nd
```

## Properties
calculated density	7.5	g/cm3
space group	C2/m
spin magnetization	0.000	μB/f.u.
DOS at the Fermi energy	9.86	states/eV/f.u.
volume	33.57	Å³/atom
ΔH_f (0 K)	0.020	eV/atom

=====

# PrNd6SmTm2

A relaxed PrNd6SmTm2 crystal (GGA-PBE, Alexandria).

Cell and atoms, written as POSCAR:
```
PrNd6SmTm2
1.0
9.296 -2.022 -2.098
0.800 8.693 -1.967
0.800 -2.288 8.614
Nd Tm Pr Sm
12 4 2 2
direct
0.881 0.296 0.514 Nd
0.381 0.514 0.296 Nd
0.318 0.986 0.438 Nd
0.619 0.486 0.704 Nd
0.818 0.438 0.986 Nd
0.944 0.892 0.240 Nd
0.182 0.562 0.014 Nd
0.444 0.240 0.892 Nd
0.056 0.108 0.760 Nd
0.119 0.704 0.486 Nd
0.556 0.760 0.108 Nd
0.682 0.014 0.562 Nd
0.451 0.802 0.707 Tm
0.951 0.707 0.802 Tm
0.049 0.293 0.198 Tm
0.549 0.198 0.293 Tm
0.250 0.407 0.593 Pr
0.750 0.593 0.407 Pr
0.250 0.968 0.032 Sm
0.750 0.032 0.968 Sm
```

## Properties
calculated density	7.2	g/cm3
space group	C2/c
spin magnetization	0.000	μB/f.u.
DOS at the Fermi energy	14.72	states/eV/f.u.
volume	34.49	Å³/atom
ΔH_f (0 K)	0.113	eV/atom